Compound: ErGa4Pd6
Source: Alexandria via LeMat-Bulk
Functional: PBE
Structure: relaxed

energy relative to the lowest polymorph listed for this composition: 0 kJ/mol of formula units
E_form: -0.749 eV/atom
total energy: -56.066 eV per cell

```
ErGa4Pd6
1.0
7.3912 0.0000 0.0000
-3.6956 6.4010 0.0000
0.0000 0.0000 3.8524
Er Ga Pd
1 4 6
direct
0.0000 0.0000 0.0000
0.3333 0.6667 0.0000
0.3952 0.1976 0.5000
0.8024 0.1976 0.5000
0.8024 0.6048 0.5000
0.1955 0.3911 0.5000
0.1955 0.8045 0.5000
0.5334 0.0668 0.0000
0.5334 0.4666 0.0000
0.6089 0.8045 0.5000
0.9332 0.4666 0.0000
```